[1]
KRb2NiI6 | Alexandria via LeMat-Bulk | GGA-PBE | optimized geometry; E = -0.096 Ha/atom; ρ = 3.89 g/cm³
1.0
8.5372 0.0000 0.0000
0.0000 8.5372 0.0000
4.2686 4.2686 6.0279
K Rb I Ni
1 2 6 1
direct
0.5000 0.5000 0.0000
0.7500 0.2500 0.5000
0.2500 0.7500 0.5000
0.2227 0.7773 0.0000
0.7773 0.7773 0.0000
0.2227 0.2227 0.0000
0.7773 0.2227 0.0000
0.2224 0.2224 0.5553
0.7776 0.7776 0.4447
0.0000 0.0000 0.0000



[2]
KRbNiI4 | Alexandria via LeMat-Bulk | GGA-PBE | optimized geometry; E = -0.105 Ha/atom; ρ = 3.78 g/cm³
1.0
7.5999 0.0000 -0.2304
0.0000 8.1133 0.0000
-3.2661 0.0000 9.9362
I K Rb Ni
8 2 2 2
direct
0.0002 0.5038 0.2503
0.0002 0.9962 0.2503
0.6123 0.2500 0.8723
0.3764 0.7500 0.5672
0.9998 0.4962 0.7497
0.6236 0.2500 0.4328
0.9998 0.0038 0.7497
0.3877 0.7500 0.1277
0.7810 0.7500 0.4491
0.2190 0.2500 0.5509
0.2612 0.2500 0.0682
0.7388 0.7500 0.9318
0.2287 0.7500 0.3082
0.7713 0.2500 0.6918



[3]
KNiSbI2 | Alexandria via LeMat-Bulk | GGA-PBE | optimized geometry; E = -0.114 Ha/atom; ρ = 4.78 g/cm³
1.0
-1.8425 5.2648 1.7965
-1.1113 -2.2027 5.3154
4.4542 1.0873 1.3818
I K Sb Ni
2 1 1 1
direct
0.5000 0.0000 0.0000
0.0000 0.5000 0.0000
0.5000 0.5000 0.5000
0.0000 0.0000 0.5000
0.0000 0.0000 0.0000



[4]
KNiTeI2 | Alexandria via LeMat-Bulk | GGA-PBE | optimized geometry; E = -0.110 Ha/atom; ρ = 4.86 g/cm³; offset from the most stable computed form = 0.000 eV/atom
1.0
5.7308 0.0000 0.0000
0.0000 5.7308 0.0000
0.0000 0.0000 4.9861
Te I K Ni
1 2 1 1
direct
0.0000 0.0000 0.5000
0.5000 0.0000 0.0000
0.0000 0.5000 0.0000
0.5000 0.5000 0.5000
0.0000 0.0000 0.0000



[5]
KNiTeI2 | Alexandria via LeMat-Bulk | GGA-PBE | optimized geometry; E = -0.064 Ha/atom; ρ = 3.16 g/cm³; offset from the most stable computed form = 1.269 eV/atom
1.0
-4.0524 1.3896 4.6624
2.4430 -4.6662 3.5141
4.1750 4.0170 2.4315
Ni Te I K
1 1 2 1
direct
0.5000 0.5000 0.5000
0.0000 0.0000 0.5000
0.0000 0.5000 0.0000
0.5000 0.0000 0.0000
0.0000 0.0000 0.0000



[6]
KTlNiI4 | Alexandria via LeMat-Bulk | GGA-PBE | optimized geometry; E = -0.103 Ha/atom; ρ = 4.68 g/cm³
1.0
7.6398 0.0000 -0.1221
0.0000 8.0079 0.0000
-3.1256 0.0000 9.4434
I K Tl Ni
8 2 2 2
direct
0.6238 0.2500 0.4243
0.4020 0.7500 0.1170
0.5980 0.2500 0.8830
0.9909 0.0043 0.7637
0.0091 0.9957 0.2363
0.0091 0.5043 0.2363
0.3762 0.7500 0.5757
0.9909 0.4957 0.7637
0.7795 0.7500 0.4470
0.2205 0.2500 0.5530
0.7418 0.7500 0.9331
0.2582 0.2500 0.0669
0.7603 0.2500 0.6959
0.2397 0.7500 0.3041